No. 1
Material: Y2ScCu
Method: DFT, PBE
State: relaxed

Lattice parameters (Å, degrees): 9.8934 9.8934 9.8934 20.46 20.46 20.46
Sites, in units of the cell vectors:
1 Y 0.5113 0.5113 0.5113
2 Y 0.9887 0.9887 0.9887
3 Cu 0.2500 0.2500 0.2500
4 Sc 0.7500 0.7500 0.7500

total magnetic moment: 0.000 μB per cell
formation energy from the elements: 69.2 meV per atom
polymorph energy (0 for the lowest one): 16.4 kJ per mole of atoms
energy: -5.77 eV/atom

No. 2
Material: Y2ScCu
Method: DFT, PBE
State: relaxed

Lattice parameters (Å, degrees): 6.0573 6.0573 6.0573 137.85 137.85 61.13
Sites, in units of the cell vectors:
1 Cu 0.5000 0.5000 0.0000
2 Y 0.0000 0.0000 0.0000
3 Sc 0.7500 0.2500 0.5000
4 Y 0.2500 0.7500 0.5000

total magnetic moment: 0.009 μB per cell
formation energy from the elements: 146.9 meV per atom
polymorph energy (0 for the lowest one): 23.9 kJ per mole of atoms
energy: -5.69 eV/atom